Entry from Alexandria via LeMat-Bulk: an optimized crystal structure of K3ZrSc3Te8 (PBE).

Geometry as CIF:
```
data_K3ZrSc3Te8
_chemical_formula_sum 'K9 Zr3 Sc9 Te24'
_cell_length_a 8.4443
_cell_length_b 8.4443
_cell_length_c 25.1728
_cell_angle_alpha 90.00
_cell_angle_beta 90.00
_cell_angle_gamma 120.00
_symmetry_space_group_name_H-M 'R -3 m'
_symmetry_Int_Tables_number 166
_symmetry_space_group_name_Hall '-R 3 2"'
loop_
_atom_site_label
_atom_site_fract_x
_atom_site_fract_y
_atom_site_fract_z
K1 0.0000 0.5000 0.0000
Zr1 0.0000 0.0000 0.5000
Sc1 0.0000 0.5000 0.5000
Te1 0.0000 0.0000 0.2326
Te2 0.0008 0.5004 0.7673
```

Summary:
The energy relative to the elements, uncorrected is -1.1804 eV/atom.



Entry from Alexandria via LeMat-Bulk: an optimized crystal structure of Mg2HgBr6 (PBE).

Geometry as CIF:
```
data_Mg2HgBr6
_chemical_formula_sum 'Mg2 Hg1 Br6'
_cell_length_a 6.8636
_cell_length_b 6.8636
_cell_length_c 6.9300
_cell_angle_alpha 90.00
_cell_angle_beta 90.00
_cell_angle_gamma 120.00
_symmetry_space_group_name_H-M 'P -3 1 m'
_symmetry_Int_Tables_number 162
_symmetry_space_group_name_Hall '-P 3 2'
loop_
_atom_site_label
_atom_site_fract_x
_atom_site_fract_y
_atom_site_fract_z
Mg1 0.3333 0.6667 0.0000
Hg1 0.0000 0.0000 0.0000
Br1 0.0000 0.3505 0.2226
```

Summary:
Its polymorph energy (0 for the lowest one) is 0.000 eV per atom. The energy relative to the elements, uncorrected is -1.1165 eV/atom.



Entry from Alexandria via LeMat-Bulk: an optimized crystal structure of ScTl2Pt (PBE).

Geometry as CIF:
```
data_ScTl2Pt
_chemical_formula_sum 'Sc3 Tl6 Pt3'
_cell_length_a 3.6183
_cell_length_b 3.6183
_cell_length_c 24.6093
_cell_angle_alpha 90.00
_cell_angle_beta 90.00
_cell_angle_gamma 120.00
_symmetry_space_group_name_H-M 'R -3 m'
_symmetry_Int_Tables_number 166
_symmetry_space_group_name_Hall '-R 3 2"'
loop_
_atom_site_label
_atom_site_fract_x
_atom_site_fract_y
_atom_site_fract_z
Sc1 0.0000 0.0000 0.0000
Tl1 0.0000 0.0000 0.2420
Pt1 0.0000 0.0000 0.5000
```

Summary:
Its formation energy is -0.058 eV per atom.



Entry from Alexandria via LeMat-Bulk: an optimized crystal structure of Zn2BrCl (PBE).

Geometry as CIF:
```
data_Zn2BrCl
_chemical_formula_sum 'Zn4 Br2 Cl2'
_cell_length_a 3.855
_cell_length_b 7.351
_cell_length_c 7.613
_cell_angle_alpha 90.00
_cell_angle_beta 90.00
_cell_angle_gamma 90.00
_symmetry_space_group_name_H-M 'C m m m'
_symmetry_Int_Tables_number 65
_symmetry_space_group_name_Hall '-C 2 2'
loop_
_atom_site_label
_atom_site_fract_x
_atom_site_fract_y
_atom_site_fract_z
Zn1 0.000 0.000 0.244
Br1 0.000 0.500 0.500
Cl1 0.000 0.500 0.000
```

Summary:
Its polymorph energy (0 for the lowest one) is 0.445 eV per atom. The energy relative to the elements, uncorrected is -0.1695 eV/atom.



Entry from Alexandria via LeMat-Bulk: an optimized crystal structure of AlSiTc (PBE).

Geometry as CIF:
```
data_AlSiTc
_chemical_formula_sum 'Al4 Si4 Tc4'
_cell_length_a 3.035
_cell_length_b 4.752
_cell_length_c 12.264
_cell_angle_alpha 90.00
_cell_angle_beta 90.00
_cell_angle_gamma 90.00
_symmetry_space_group_name_H-M 'F m m 2'
_symmetry_Int_Tables_number 42
_symmetry_space_group_name_Hall 'F 2 -2'
loop_
_atom_site_label
_atom_site_fract_x
_atom_site_fract_y
_atom_site_fract_z
Al1 0.000 0.000 0.000
Si1 0.000 0.000 0.322
Tc1 0.000 0.000 0.669
```

Summary:
Its polymorph energy (0 for the lowest one) is 0.676 eV per atom. The energy relative to the elements, uncorrected is 0.0424 eV/atom.



Entry from Alexandria via LeMat-Bulk: an optimized crystal structure of Ac12Pm5Y (PBE).

Geometry as CIF:
```
data_Ac12Pm5Y
_chemical_formula_sum 'Ac24 Pm10 Y2'
_cell_length_a 20.138
_cell_length_b 11.646
_cell_length_c 6.708
_cell_angle_alpha 90.00
_cell_angle_beta 108.87
_cell_angle_gamma 90.00
_symmetry_space_group_name_H-M 'C 1 2/m 1'
_symmetry_Int_Tables_number 12
loop_
_symmetry_equiv_pos_as_xyz
'x,y,z'
'-x,-y,-z'
'-x,y,-z'
'x,-y,z'
'x+1/2,y+1/2,z'
'-x+1/2,-y+1/2,-z'
'-x+1/2,y+1/2,-z'
'x+1/2,-y+1/2,z'
loop_
_atom_site_label
_atom_site_fract_x
_atom_site_fract_y
_atom_site_fract_z
Ac1 0.000 0.164 0.000
Ac2 0.000 0.335 0.500
Ac3 0.167 0.164 0.500
Ac4 0.167 0.336 0.000
Pm1 0.000 0.500 0.000
Pm2 0.166 0.000 0.999
Pm3 0.167 0.500 0.500
Y1 0.000 0.000 0.500
```

Summary:
Its formation energy is 0.042 eV per atom.



Entry from Alexandria via LeMat-Bulk: an optimized crystal structure of NiHg2Te (PBE).

Geometry as CIF:
```
data_NiHg2Te
_chemical_formula_sum 'Ni2 Hg4 Te2'
_cell_length_a 3.165
_cell_length_b 6.426
_cell_length_c 9.871
_cell_angle_alpha 90.00
_cell_angle_beta 90.00
_cell_angle_gamma 90.00
_symmetry_space_group_name_H-M 'I m m 2'
_symmetry_Int_Tables_number 44
loop_
_symmetry_equiv_pos_as_xyz
'x,y,z'
'-x,-y,z'
'-x,y,z'
'x,-y,z'
'x+1/2,y+1/2,z+1/2'
'-x+1/2,-y+1/2,z+1/2'
'-x+1/2,y+1/2,z+1/2'
'x+1/2,-y+1/2,z+1/2'
loop_
_atom_site_label
_atom_site_fract_x
_atom_site_fract_y
_atom_site_fract_z
Ni1 0.000 0.000 0.000
Hg1 0.000 0.000 0.492
Hg2 0.000 0.500 0.712
Te1 0.000 0.500 0.311
```

Summary:
The energy relative to the elements, uncorrected is 0.1793 eV/atom.



Entry from Alexandria via LeMat-Bulk: an optimized crystal structure of TbCeS2N (PBE).

Geometry as CIF:
```
data_TbCeS2N
_chemical_formula_sum 'Tb2 Ce2 S4 N2'
_cell_length_a 3.907
_cell_length_b 3.907
_cell_length_c 13.962
_cell_angle_alpha 90.00
_cell_angle_beta 90.00
_cell_angle_gamma 90.00
_symmetry_space_group_name_H-M 'P 4/n m m'
_symmetry_Int_Tables_number 129
loop_
_symmetry_equiv_pos_as_xyz
'x,y,z'
'-x,-y,-z'
'-y+1/2,x,z'
'y+1/2,-x,-z'
'-x+1/2,-y+1/2,z'
'x+1/2,y+1/2,-z'
'y,-x+1/2,z'
'-y,x+1/2,-z'
'x+1/2,-y,-z'
'-x+1/2,y,z'
'-y,-x,-z'
'y,x,z'
'-x,y+1/2,-z'
'x,-y+1/2,z'
'y+1/2,x+1/2,-z'
'-y+1/2,-x+1/2,z'
loop_
_atom_site_label
_atom_site_fract_x
_atom_site_fract_y
_atom_site_fract_z
Tb1 0.250 0.250 0.123
Ce1 0.250 0.250 0.585
S1 0.250 0.250 0.304
S2 0.250 0.250 0.909
N1 0.250 0.750 0.500
```

Summary:
The energy relative to the elements, uncorrected is -1.8208 eV/atom.



Asked for magnetic moment across the records above, the calculation gives 0.0, 0.0, 0.0, 0.0, 0.0, 0.0, 0.0, 0.0 μB per cell in order.